The following is a PBE calculation of a relaxed Zn2ReW crystal, from Alexandria via LeMat-Bulk.

Cell: 4.822 4.822 4.822 Å, 137.94 127.16 69.72°
Positions (direct):
Re  0.500  0.500  0.000
Zn  0.990  0.990  0.000
Zn  0.760  0.260  0.500
W  0.250  0.750  0.500

E_tot, eV per atom: -6.733
Total magnetic moment, Bohr magnetons per cell: 0.0
Calculated formation energy, kJ/mol of formula units: 98